First-principles (PBE) data for a relaxed structure of SrLaGd, as listed in Alexandria via LeMat-Bulk.

Values from the calculation:
* total moment: 2.486 μB/atom
* E above lowest polymorph: 0.0 meV/atom
* space-group type: No. 107
* crystal system: tetragonal
* ΔH_f (0 K): 0.089 eV per atom

Cell lengths 3.803, 3.803, 8.702 Å; angles 102.62, 102.62, 90.00 degrees
Site moments in Bohr magnetons follow the coordinates.
Fractional positions:
La: 0.319 0.319 0.639  -0.03
Gd: 0.679 0.679 0.358  7.26
Sr: 0.002 0.002 0.004  -0.02